Entry from the Alexandria database: a geometry-optimized KAcCrN3 structure (PBE-GGA).

a = 14.304 Å, b = 3.811 Å, c = 8.051 Å
α = 90.00°, β = 105.04°, γ = 90.00°
Space group C2/m (No. 12)
One atom of each set of equivalent atoms:
K  0.121  0.000  0.071 (multiplicity 4)
Ac  0.161  0.000  0.613 (multiplicity 4)
Cr  0.014  0.500  0.332 (multiplicity 4)
N  0.016  0.000  0.353 (multiplicity 4)
N  0.107  0.500  0.798 (multiplicity 4)
N  0.146  0.500  0.356 (multiplicity 4)

Values from the calculation:
- Energy: -168.257 eV/cell
- Raw formation energy: -376.5 meV/atom
- M_tot: 0.00 μB per formula unit
- DOS(E_F): 2.722 states/eV per cell